Entry 1:
CrTeW | GGA-PBEsol | relaxed

Structure (CIF):
```
data_CrTeW
_chemical_formula_sum 'Cr4 Te4 W4'
_cell_length_a 5.8993
_cell_length_b 5.8993
_cell_length_c 5.8993
_cell_angle_alpha 90.00
_cell_angle_beta 90.00
_cell_angle_gamma 90.00
_symmetry_space_group_name_H-M 'F -4 3 m'
_symmetry_Int_Tables_number 216
_symmetry_space_group_name_Hall 'F -4 2 3'
loop_
_atom_site_label
_atom_site_type_symbol
_atom_site_fract_x
_atom_site_fract_y
_atom_site_fract_z
Cr1 Cr 0.0000 0.0000 0.0000
Te1 Te 0.2500 0.2500 0.7500
W1 W 0.2500 0.2500 0.2500
```

Summary:
* raw formation energy: 1.17 eV per formula unit

---

Entry 2:
RbPtOF2 | GGA-PBEsol | relaxed

Structure (CIF):
```
data_RbPtOF2
_chemical_formula_sum 'Rb1 Pt1 O1 F2'
_cell_length_a 4.7157
_cell_length_b 4.7157
_cell_length_c 4.3747
_cell_angle_alpha 90.00
_cell_angle_beta 90.00
_cell_angle_gamma 90.00
_symmetry_space_group_name_H-M 'P 4/m m m'
_symmetry_Int_Tables_number 123
_symmetry_space_group_name_Hall '-P 4 2'
loop_
_atom_site_label
_atom_site_type_symbol
_atom_site_fract_x
_atom_site_fract_y
_atom_site_fract_z
Rb1 Rb 0.0000 0.0000 0.0000
Pt1 Pt 0.5000 0.5000 0.5000
O1 O 0.0000 0.0000 0.5000
F1 F 0.0000 0.5000 0.0000
```

Summary:
* raw formation energy: 3.10 eV per formula unit

---

Entry 3:
Y4HgOs | GGA-PBEsol | relaxed

Structure (CIF):
```
data_Y4HgOs
_chemical_formula_sum 'Y16 Hg4 Os4'
_cell_length_a 8.2539
_cell_length_b 8.2539
_cell_length_c 8.2539
_cell_angle_alpha 90.00
_cell_angle_beta 90.00
_cell_angle_gamma 90.00
_symmetry_space_group_name_H-M 'F -4 3 m'
_symmetry_Int_Tables_number 216
_symmetry_space_group_name_Hall 'F -4 2 3'
loop_
_atom_site_label
_atom_site_type_symbol
_atom_site_fract_x
_atom_site_fract_y
_atom_site_fract_z
Y1 Y 0.1233 0.1233 0.3767
Hg1 Hg 0.0000 0.0000 0.0000
Os1 Os 0.2500 0.2500 0.7500
```

Summary:
* DFT formation energy: 0.73 eV per atom

---

Entry 4:
Si2TcW | GGA-PBEsol | relaxed

Structure (CIF):
```
data_Si2TcW
_chemical_formula_sum 'Si4 Tc2 W2'
_cell_length_a 8.0994
_cell_length_b 2.8343
_cell_length_c 4.9266
_cell_angle_alpha 90.00
_cell_angle_beta 101.78
_cell_angle_gamma 90.00
_symmetry_space_group_name_H-M 'C 1 2/m 1'
_symmetry_Int_Tables_number 12
_symmetry_space_group_name_Hall '-C 2y'
loop_
_atom_site_label
_atom_site_type_symbol
_atom_site_fract_x
_atom_site_fract_y
_atom_site_fract_z
Si1 Si 0.2458 0.0000 0.2258
Tc1 Tc 0.0000 0.5000 0.0000
W1 W 0.0000 0.0000 0.5000
```

Summary:
* raw formation energy: -0.45 eV per formula unit

---

Calculated density list, top to bottom, in Mg/m³: 11.8; 5.7; 8.8; 10.1
Calculated volume list, top to bottom, in Å³ per cell: 205.3; 97.3; 562.3; 110.7
Total magnetization list, top to bottom, in μB per atom: 0.00; 0.44; 0.00; 0.00